This record from OQMD via LeMat-Bulk describes crystalline Tb2HoIrPd2Pb3 at its relaxed geometry. The functional is PBE-GGA.

Calculated values
VASP energy = -50.22 eV for the cell shown
SG = Amm2, No. 38

Unit cell a=3.8828 b=7.8042 c=7.8042 alpha=119.93 beta=90.00 gamma=90.00
Fractional coordinates of all 9 atoms:
Tb  0.0000  0.0000  0.3975
Pb  0.5000  0.9997  0.7348
Pb  0.5000  0.7348  0.9997
Ho  0.0000  0.6033  0.6033
Pd  0.5000  0.3347  0.6662
Ir  0.0000  0.9987  0.9987
Tb  0.0000  0.3975  0.0000
Pd  0.5000  0.6662  0.3347
Pb  0.5000  0.2650  0.2650



This record from OQMD via LeMat-Bulk describes crystalline PrCd11 at its relaxed geometry. The functional is PBE-GGA.

Calculated values
SG = Pm-3m, No. 221
DFT formation energy = -0.164 eV per atom

Unit cell a=9.3451 b=9.3451 c=9.3451 alpha=90.00 beta=90.00 gamma=90.00
Fractional coordinates of all 36 atoms:
Cd  0.2659  0.7341  0.5000
Cd  0.0000  0.3449  0.6551
Cd  0.5000  0.7341  0.7341
Cd  0.0000  0.6551  0.3449
Cd  0.5000  0.2659  0.2659
Cd  0.6551  0.6551  0.0000
Cd  0.7341  0.5000  0.2659
Cd  0.7341  0.5000  0.7341
Cd  0.2659  0.5000  0.2659
Cd  0.5000  0.2659  0.7341
Cd  0.3449  0.3449  0.0000
Cd  0.0000  0.3449  0.3449
Cd  0.6551  0.3449  0.0000
Cd  0.3449  0.0000  0.6551
Cd  0.0000  0.6551  0.6551
Pr  0.0000  0.0000  0.5000
Cd  0.6551  0.0000  0.3449
Cd  0.2659  0.5000  0.7341
Cd  0.3449  0.0000  0.3449
Cd  0.7341  0.2659  0.5000
Cd  0.8433  0.1567  0.8433
Cd  0.3449  0.6551  0.0000
Cd  0.8433  0.8433  0.8433
Cd  0.6551  0.0000  0.6551
Cd  0.1567  0.8433  0.8433
Cd  0.2659  0.2659  0.5000
Cd  0.5000  0.5000  0.5000
Cd  0.1567  0.8433  0.1567
Cd  0.8433  0.1567  0.1567
Cd  0.1567  0.1567  0.1567
Cd  0.5000  0.7341  0.2659
Cd  0.7341  0.7341  0.5000
Cd  0.1567  0.1567  0.8433
Pr  0.0000  0.5000  0.0000
Cd  0.8433  0.8433  0.1567
Pr  0.5000  0.0000  0.0000



This record from OQMD via LeMat-Bulk describes crystalline ZrCoReGe at its relaxed geometry. The functional is PBE-GGA.

Calculated values
SG = F-43m, No. 216
energy above the most stable polymorph in this dataset = 0.000 eV per atom

Unit cell a=4.4137 b=4.4137 c=4.4137 alpha=60.00 beta=60.00 gamma=60.00
Fractional coordinates of all 4 atoms:
Re  0.2500  0.2500  0.2500
Co  0.7500  0.7500  0.7500
Ge  0.0000  0.0000  0.0000
Zr  0.5000  0.5000  0.5000



This record from OQMD via LeMat-Bulk describes crystalline Lu2ScCu at its relaxed geometry. The functional is PBE-GGA.

Calculated values
SG = F-43m, No. 216
DFT formation energy = 0.165 eV per atom

Unit cell a=5.0582 b=5.0582 c=5.0582 alpha=60.00 beta=60.00 gamma=60.00
Fractional coordinates of all 4 atoms:
Lu  0.0000  0.0000  0.0000
Sc  0.5000  0.5000  0.5000
Lu  0.7500  0.7500  0.7500
Cu  0.2500  0.2500  0.2500



This record from OQMD via LeMat-Bulk describes crystalline Hf6Al2Fe at its relaxed geometry. The functional is PBE-GGA.

Calculated values
VASP energy = -78.17 eV for the cell shown
SG = P-62m, No. 189

Unit cell a=7.8581 b=3.2707 c=7.8586 alpha=90.00 beta=120.00 gamma=90.00
Fractional coordinates of all 9 atoms:
Hf  0.2518  0.5000  0.2518
Fe  0.0000  0.0000  0.0000
Hf  0.7482  0.5000  0.0000
Hf  0.6071  0.0000  0.6071
Hf  0.0000  0.0000  0.3929
Hf  0.3929  0.0000  0.0000
Hf  0.0000  0.5000  0.7482
Al  0.3333  0.5000  0.6667
Al  0.6667  0.5000  0.3333



This record from OQMD via LeMat-Bulk describes crystalline SrPr at its relaxed geometry. The functional is PBE-GGA.

Calculated values
SG = F-43m, No. 216
energy above the most stable polymorph in this dataset = 1.514 eV per atom

Unit cell a=5.4857 b=5.4857 c=5.4857 alpha=60.00 beta=60.00 gamma=60.00
Fractional coordinates of all 2 atoms:
Sr  0.2500  0.2500  0.2500
Pr  0.0000  0.0000  0.0000



This record from OQMD via LeMat-Bulk describes crystalline CsPPtO at its relaxed geometry. The functional is PBE-GGA.

Calculated values
SG = P4/nmm, No. 129
energy above the most stable polymorph in this dataset = 0.061 eV per atom

Unit cell a=4.2058 b=4.2058 c=11.7271 alpha=90.00 beta=90.00 gamma=90.00
Fractional coordinates of all 8 atoms:
Cs  0.7500  0.7500  0.8375
Pt  0.7500  0.2500  0.5000
O  0.2500  0.7500  0.0000
Cs  0.2500  0.2500  0.1625
P  0.7500  0.7500  0.4023
Pt  0.2500  0.7500  0.5000
P  0.2500  0.2500  0.5977
O  0.7500  0.2500  0.0000



This record from OQMD via LeMat-Bulk describes crystalline La2Cd2SbAsO2 at its relaxed geometry. The functional is PBE-GGA.

Calculated values
VASP energy = -44.50 eV for the cell shown
SG = P4mm, No. 99

Unit cell a=4.2942 b=4.2942 c=9.3994 alpha=90.00 beta=90.00 gamma=90.00
Fractional coordinates of all 8 atoms:
Sb  0.0000  0.0000  0.3024
O  0.5000  0.0000  0.9930
La  0.5000  0.5000  0.1121
La  0.0000  0.0000  0.8728
Cd  0.0000  0.5000  0.5123
O  0.0000  0.5000  0.9930
As  0.5000  0.5000  0.7018
Cd  0.5000  0.0000  0.5123



This record from OQMD via LeMat-Bulk describes crystalline CsUTe3 at its relaxed geometry. The functional is PBE-GGA.

Calculated values
VASP energy = -25.50 eV for the cell shown
SG = Pm-3m, No. 221

Unit cell a=5.9475 b=5.9475 c=5.9475 alpha=90.00 beta=90.00 gamma=90.00
Site moments in Bohr magnetons follow the coordinates.
Fractional coordinates of all 5 atoms:
Te  0.5000  0.0000  0.5000  -0.13
U  0.5000  0.5000  0.5000  1.54
Te  0.0000  0.5000  0.5000  -0.11
Te  0.5000  0.5000  0.0000  -0.13
Cs  0.0000  0.0000  0.0000  0.00



This record from OQMD via LeMat-Bulk describes crystalline GdYAu2 at its relaxed geometry. The functional is PBE-GGA.

Calculated values
SG = Amm2, No. 38
DFT formation energy = -0.876 eV per atom

Unit cell a=4.6741 b=5.8086 c=5.8086 alpha=37.45 beta=90.00 gamma=90.00
Fractional coordinates of all 4 atoms:
Y  0.5000  0.6397  0.6397
Au  0.5000  0.9111  0.9111
Au  0.0000  0.0889  0.0889
Gd  0.0000  0.3603  0.3603



This record from OQMD via LeMat-Bulk describes crystalline Zn2Pb2O5 at its relaxed geometry. The functional is PBE-GGA.

Calculated values
SG = P4/mmm, No. 123
energy above the most stable polymorph in this dataset = 0.420 eV per atom

Unit cell a=8.7142 b=3.9044 c=3.9044 alpha=90.00 beta=90.00 gamma=90.00
Fractional coordinates of all 9 atoms:
O  0.8531  0.5000  0.0000
Pb  0.2495  0.5000  0.5000
O  0.1469  0.5000  0.0000
O  0.8531  0.0000  0.5000
Pb  0.7505  0.5000  0.5000
O  0.1469  0.0000  0.5000
Zn  0.0000  0.0000  0.0000
Zn  0.5000  0.0000  0.0000
O  0.5000  0.5000  0.5000



This record from OQMD via LeMat-Bulk describes crystalline KSmYCo2 at its relaxed geometry. The functional is PBE-GGA.

Calculated values
VASP energy = -26.20 eV for the cell shown
SG = Amm2, No. 38

Unit cell a=3.9172 b=9.2050 c=9.2050 alpha=24.63 beta=90.00 gamma=90.00
Fractional coordinates of all 5 atoms:
K  0.5000  0.9980  0.9980
Co  0.5000  0.2226  0.2226
Co  0.5000  0.7801  0.7801
Sm  0.0000  0.6669  0.6669
Y  0.0000  0.3324  0.3324



This record from OQMD via LeMat-Bulk describes crystalline TbGaPdPt at its relaxed geometry. The functional is PBE-GGA.

Calculated values
SG = P-3m1, No. 164
energy above the most stable polymorph in this dataset = 0.011 eV per atom

Unit cell a=4.3965 b=4.3965 c=9.1703 alpha=90.00 beta=90.00 gamma=120.00
Fractional coordinates of all 8 atoms:
Ga  0.0000  0.0000  0.0000
Tb  0.6667  0.3333  0.2538
Pd  0.3333  0.6667  0.0797
Pt  0.3333  0.6667  0.4141
Ga  0.0000  0.0000  0.5000
Tb  0.3333  0.6667  0.7462
Pd  0.6667  0.3333  0.9203
Pt  0.6667  0.3333  0.5859



This record from OQMD via LeMat-Bulk describes crystalline RbTmHf at its relaxed geometry. The functional is PBE-GGA.

Calculated values
SG = F-43m, No. 216
energy above the most stable polymorph in this dataset = 0.000 eV per atom

Unit cell a=5.6882 b=5.6882 c=5.6882 alpha=60.00 beta=60.00 gamma=60.00
Fractional coordinates of all 3 atoms:
Rb  0.2500  0.2500  0.2500
Hf  0.0000  0.0000  0.0000
Tm  0.7500  0.7500  0.7500



This record from OQMD via LeMat-Bulk describes crystalline CdTePdO at its relaxed geometry. The functional is PBE-GGA.

Calculated values
SG = P4/nmm, No. 129
energy above the most stable polymorph in this dataset = 0.465 eV per atom

Unit cell a=4.3586 b=4.3586 c=8.8680 alpha=90.00 beta=90.00 gamma=90.00
Fractional coordinates of all 8 atoms:
Pd  0.7500  0.7500  0.3152
O  0.7500  0.7500  0.0857
Pd  0.2500  0.2500  0.6848
Cd  0.7500  0.7500  0.8522
Cd  0.2500  0.2500  0.1478
Te  0.7500  0.2500  0.5000
O  0.2500  0.2500  0.9143
Te  0.2500  0.7500  0.5000



This record from OQMD via LeMat-Bulk describes crystalline SmGd2TmIn2 at its relaxed geometry. The functional is PBE-GGA.

Calculated values
VASP energy = -26.05 eV for the cell shown
SG = P-6m2, No. 187

Unit cell a=5.4057 b=5.4057 c=6.7773 alpha=90.00 beta=90.00 gamma=120.00
Site moments in Bohr magnetons follow the coordinates.
Fractional coordinates of all 6 atoms:
Gd  0.0000  0.0000  0.7568  0.24
Tm  0.6667  0.3333  0.0000  0.24
Sm  0.3333  0.6667  0.5000  0.11
In  0.6667  0.3333  0.5000  0.00
In  0.3333  0.6667  0.0000  -0.01
Gd  0.0000  0.0000  0.2432  0.23



This record from OQMD via LeMat-Bulk describes crystalline TaAs2Pd2 at its relaxed geometry. The functional is PBE-GGA.

Calculated values
VASP energy = -31.06 eV for the cell shown
SG = I4/mmm, No. 139

Unit cell a=6.4926 b=6.4926 c=6.4926 alpha=146.35 beta=146.35 gamma=48.32
Fractional coordinates of all 5 atoms:
As  0.3935  0.3935  0.0000
As  0.6065  0.6065  0.0000
Ta  0.0000  0.0000  0.0000
Pd  0.7500  0.2500  0.5000
Pd  0.2500  0.7500  0.5000



This record from OQMD via LeMat-Bulk describes crystalline CoTeMo2 at its relaxed geometry. The functional is PBE-GGA.

Calculated values
VASP energy = -29.99 eV for the cell shown
SG = F-43m, No. 216

Unit cell a=4.4921 b=4.4921 c=4.4921 alpha=60.00 beta=60.00 gamma=60.00
Fractional coordinates of all 4 atoms:
Mo  0.7500  0.7500  0.7500
Co  0.2500  0.2500  0.2500
Mo  0.0000  0.0000  0.0000
Te  0.5000  0.5000  0.5000



This record from OQMD via LeMat-Bulk describes crystalline RbHfAg3O4 at its relaxed geometry. The functional is PBE-GGA.

Calculated values
VASP energy = -50.19 eV for the cell shown
SG = P-43m, No. 215

Unit cell a=5.6910 b=5.6910 c=5.6910 alpha=90.00 beta=90.00 gamma=90.00
Fractional coordinates of all 9 atoms:
O  0.7972  0.7972  0.7972
O  0.2028  0.7972  0.2028
Ag  0.0000  0.5000  0.0000
O  0.7972  0.2028  0.2028
Hf  0.0000  0.0000  0.0000
O  0.2028  0.2028  0.7972
Ag  0.5000  0.0000  0.0000
Ag  0.0000  0.0000  0.5000
Rb  0.5000  0.5000  0.5000



This record from OQMD via LeMat-Bulk describes crystalline ZrCu4 at its relaxed geometry. The functional is PBE-GGA.

Calculated values
SG = Pnma, No. 62
DFT formation energy = -0.101 eV per atom

Unit cell a=4.6695 b=4.4619 c=13.3648 alpha=90.00 beta=90.00 gamma=90.00
Fractional coordinates of all 20 atoms:
Cu  0.1956  0.2500  0.8929
Cu  0.8454  0.7500  0.4955
Cu  0.6956  0.2500  0.6071
Zr  0.1517  0.2500  0.0973
Cu  0.8372  0.7500  0.2934
Cu  0.6628  0.2500  0.7934
Cu  0.3372  0.7500  0.2066
Cu  0.3044  0.7500  0.3929
Zr  0.6517  0.2500  0.4027
Cu  0.6532  0.2500  0.2012
Cu  0.3454  0.7500  0.0045
Cu  0.8044  0.7500  0.1071
Cu  0.1628  0.2500  0.7066
Zr  0.8483  0.7500  0.9027
Cu  0.6546  0.2500  0.9955
Cu  0.1546  0.2500  0.5045
Cu  0.1532  0.2500  0.2988
Cu  0.8468  0.7500  0.7012
Cu  0.3468  0.7500  0.7988
Zr  0.3483  0.7500  0.5973



This record from OQMD via LeMat-Bulk describes crystalline CuReAsPd at its relaxed geometry. The functional is PBE-GGA.

Calculated values
SG = F-43m, No. 216
energy above the most stable polymorph in this dataset = 0.000 eV per atom

Unit cell a=4.3457 b=4.3457 c=4.3457 alpha=60.00 beta=60.00 gamma=60.00
Fractional coordinates of all 4 atoms:
Cu  0.7500  0.7500  0.7500
Pd  0.5000  0.5000  0.5000
Re  0.2500  0.2500  0.2500
As  0.0000  0.0000  0.0000



This record from OQMD via LeMat-Bulk describes crystalline CdCuRePb at its relaxed geometry. The functional is PBE-GGA.

Calculated values
SG = F-43m, No. 216
energy above the most stable polymorph in this dataset = 0.000 eV per atom

Unit cell a=4.6861 b=4.6861 c=4.6861 alpha=60.00 beta=60.00 gamma=60.00
Fractional coordinates of all 4 atoms:
Cu  0.7500  0.7500  0.7500
Pb  0.0000  0.0000  0.0000
Cd  0.5000  0.5000  0.5000
Re  0.2500  0.2500  0.2500



This record from OQMD via LeMat-Bulk describes crystalline In2PbAu at its relaxed geometry. The functional is PBE-GGA.

Calculated values
VASP energy = -12.32 eV for the cell shown
SG = F-43m, No. 216

Unit cell a=5.2173 b=5.2173 c=5.2173 alpha=60.00 beta=60.00 gamma=60.00
Fractional coordinates of all 4 atoms:
Au  0.2500  0.2500  0.2500
In  0.0000  0.0000  0.0000
Pb  0.5000  0.5000  0.5000
In  0.7500  0.7500  0.7500



This record from OQMD via LeMat-Bulk describes crystalline SbWAu2 at its relaxed geometry. The functional is PBE-GGA.

Calculated values
VASP energy = -21.30 eV for the cell shown
SG = F-43m, No. 216

Unit cell a=4.7098 b=4.7098 c=4.7098 alpha=60.00 beta=60.00 gamma=60.00
Fractional coordinates of all 4 atoms:
Au  0.0000  0.0000  0.0000
Sb  0.5000  0.5000  0.5000
W  0.2500  0.2500  0.2500
Au  0.7500  0.7500  0.7500



This record from OQMD via LeMat-Bulk describes crystalline Ba2TcGeS6 at its relaxed geometry. The functional is PBE-GGA.

Calculated values
VASP energy = -51.95 eV for the cell shown
SG = Fm-3m, No. 225

Unit cell a=6.8825 b=6.8825 c=6.8825 alpha=120.00 beta=120.00 gamma=60.00
Site moments in Bohr magnetons follow the coordinates.
Fractional coordinates of all 10 atoms:
Ba  0.2500  0.2500  0.7500  0.01
S  0.2459  0.7541  0.7541  0.05
S  0.7541  0.2459  0.2459  0.05
S  0.7541  0.2459  0.7541  0.06
S  0.2459  0.2459  0.2459  0.02
S  0.2459  0.7541  0.2459  0.06
Tc  0.0000  0.0000  0.0000  1.33
Ba  0.7500  0.7500  0.2500  0.01
S  0.7541  0.7541  0.7541  0.02
Ge  0.5000  0.5000  0.5000  0.01



Mass density for every record listed, in sequence, given in g/cm³: 12.23; 8.41; 11.17; 8.32; 11.21; 3.25; 6.00; 7.01; 5.95; 11.08; 7.82; 4.76; 11.47; 5.52; 7.14; 8.36; 10.79; 9.80; 5.87; 8.24; 12.34; 12.99; 10.48; 15.72; 4.59.